# PBE+U FeSiN2F, relaxed
# - Symmetry: P4/mmm (123)
# - E_tot: -6.264 eV/atom
# - Distance to the lowest polymorph of the same formula: 0 meV/atom
# - Volume: 48.4 Å³ per cell
data_FeSiN2F
_cell_length_a 3.580
_cell_length_b 3.580
_cell_length_c 3.773
_cell_angle_alpha 90.00
_cell_angle_beta 90.00
_cell_angle_gamma 90.00
_space_group_name_H-M_alt 'P 1'
_space_group_IT_number 1
loop_
_space_group_symop_operation_xyz
'x,y,z'
loop_
_atom_site_label
_atom_site_type_symbol
_atom_site_fract_x
_atom_site_fract_y
_atom_site_fract_z
Si1 Si 0.000 0.000 0.000
N1 N 0.000 0.500 0.000
N2 N 0.500 0.000 0.000
Fe1 Fe 0.500 0.500 0.500
F1 F 0.000 0.000 0.500